1.
# Ir2SeBr PBE-GGA relaxed
data_Ir2SeBr
_chemical_formula_sum 'Ir6 Se3 Br3'
_cell_length_a 3.0741
_cell_length_b 3.0741
_cell_length_c 29.5026
_cell_angle_alpha 90.00
_cell_angle_beta 90.00
_cell_angle_gamma 120.00
_space_group_name_H-M_alt 'R 3 m'
_space_group_IT_number 160
_space_group_name_Hall 'R 3 -2"'
loop_
_atom_site_label
_atom_site_type_symbol
_atom_site_fract_x
_atom_site_fract_y
_atom_site_fract_z
Ir1 Ir 0.0000 0.0000 0.0000
Ir2 Ir 0.0000 0.0000 0.2647
Se1 Se 0.0000 0.0000 0.5365
Br1 Br 0.0000 0.0000 0.7371
# ΔE to the lowest computed polymorph: 0.2295 eV/atom
# D(E_F): 3.76 states/eV/f.u.

***

2.
# IrSeBr PBE-GGA relaxed
data_IrSeBr
_chemical_formula_sum 'Ir4 Se4 Br4'
_cell_length_a 3.556
_cell_length_b 8.126
_cell_length_c 14.409
_cell_angle_alpha 90.00
_cell_angle_beta 90.00
_cell_angle_gamma 90.00
_space_group_name_H-M_alt 'F m m 2'
_space_group_IT_number 42
_space_group_name_Hall 'F 2 -2'
loop_
_atom_site_label
_atom_site_type_symbol
_atom_site_fract_x
_atom_site_fract_y
_atom_site_fract_z
Ir1 Ir 0.000 0.000 0.000
Se1 Se 0.000 0.000 0.604
Br1 Br 0.000 0.000 0.374
# D(E_F): 0.74 states/eV/f.u.
# electronic total energy: -4.471 eV per atom

***

3.
# Ir2SeBr PBE-GGA relaxed
data_Ir2SeBr
_chemical_formula_sum 'Ir8 Se4 Br4'
_cell_length_a 6.242
_cell_length_b 6.242
_cell_length_c 8.919
_cell_angle_alpha 90.00
_cell_angle_beta 90.00
_cell_angle_gamma 90.00
_space_group_name_H-M_alt 'I -4 2 d'
_space_group_IT_number 122
_space_group_name_Hall 'I -4 2bw'
loop_
_atom_site_label
_atom_site_type_symbol
_atom_site_fract_x
_atom_site_fract_y
_atom_site_fract_z
Ir1 Ir 0.220 0.250 0.125
Se1 Se 0.000 0.000 0.000
Br1 Br 0.000 0.000 0.500
# ΔE to the lowest computed polymorph: 0.4741 eV/atom
# D(E_F): 3.90 states/eV/f.u.

***

4.
# IrSeBr PBE-GGA relaxed
data_IrSeBr
_chemical_formula_sum 'Ir1 Se1 Br1'
_cell_length_a 3.6709
_cell_length_b 3.6709
_cell_length_c 6.6061
_cell_angle_alpha 90.00
_cell_angle_beta 90.00
_cell_angle_gamma 120.00
_space_group_name_H-M_alt 'P 3 m 1'
_space_group_IT_number 156
loop_
_space_group_symop_operation_xyz
'x,y,z'
'-y,x-y,z'
'-x+y,-x,z'
'-y,-x,z'
'-x+y,y,z'
'x,x-y,z'
loop_
_atom_site_label
_atom_site_type_symbol
_atom_site_fract_x
_atom_site_fract_y
_atom_site_fract_z
Ir1 Ir 0.0000 0.0000 0.0000
Se1 Se 0.3333 0.6667 0.1874
Br1 Br 0.6667 0.3333 0.7596
# electronic total energy: -4.917 eV per atom

***

5.
# Sm6Ir2Se3Br PBE-GGA relaxed
data_Sm6Ir2Se3Br
_chemical_formula_sum 'Sm12 Ir4 Se6 Br2'
_cell_length_a 18.497
_cell_length_b 4.091
_cell_length_c 8.670
_cell_angle_alpha 90.00
_cell_angle_beta 104.93
_cell_angle_gamma 90.00
_space_group_name_H-M_alt 'C 1 2/m 1'
_space_group_IT_number 12
loop_
_space_group_symop_operation_xyz
'x,y,z'
'-x,-y,-z'
'-x,y,-z'
'x,-y,z'
'x+1/2,y+1/2,z'
'-x+1/2,-y+1/2,-z'
'-x+1/2,y+1/2,-z'
'x+1/2,-y+1/2,z'
loop_
_atom_site_label
_atom_site_type_symbol
_atom_site_fract_x
_atom_site_fract_y
_atom_site_fract_z
Sm1 Sm 0.013 0.000 0.276
Sm2 Sm 0.171 0.500 0.577
Sm3 Sm 0.178 0.500 0.122
Ir1 Ir 0.169 0.000 0.341
Se1 Se 0.000 0.500 0.500
Se2 Se 0.156 0.000 0.845
Br1 Br 0.000 0.500 0.000
# D(E_F): 6.70 states/eV/f.u.
# electronic total energy: -6.196 eV per atom

***

6.
# Sm4IrSeBr2 PBE-GGA relaxed
data_Sm4IrSeBr2
_chemical_formula_sum 'Sm4 Ir1 Se1 Br2'
_cell_length_a 7.573
_cell_length_b 4.090
_cell_length_c 7.775
_cell_angle_alpha 90.00
_cell_angle_beta 107.77
_cell_angle_gamma 90.00
_space_group_name_H-M_alt 'P 1 2/m 1'
_space_group_IT_number 10
loop_
_space_group_symop_operation_xyz
'x,y,z'
'-x,-y,-z'
'-x,y,-z'
'x,-y,z'
loop_
_atom_site_label
_atom_site_type_symbol
_atom_site_fract_x
_atom_site_fract_y
_atom_site_fract_z
Sm1 Sm 0.209 0.000 0.199
Sm2 Sm 0.249 0.500 0.795
Ir1 Ir 0.000 0.500 0.000
Se1 Se 0.500 0.000 0.000
Br1 Br 0.000 0.000 0.500
Br2 Br 0.500 0.500 0.500
# D(E_F): 5.72 states/eV/f.u.
# electronic total energy: -5.588 eV per atom

***

7.
# SnIrSe2Br PBE-GGA relaxed
data_SnIrSe2Br
_chemical_formula_sum 'Sn1 Ir1 Se2 Br1'
_cell_length_a 4.974
_cell_length_b 4.974
_cell_length_c 5.048
_cell_angle_alpha 90.00
_cell_angle_beta 90.00
_cell_angle_gamma 90.00
_space_group_name_H-M_alt 'P 4/m m m'
_space_group_IT_number 123
_space_group_name_Hall '-P 4 2'
loop_
_atom_site_label
_atom_site_type_symbol
_atom_site_fract_x
_atom_site_fract_y
_atom_site_fract_z
Sn1 Sn 0.000 0.000 0.000
Ir1 Ir 0.500 0.500 0.500
Se1 Se 0.000 0.500 0.500
Br1 Br 0.500 0.500 0.000
# ΔE to the lowest computed polymorph: 0.0000 eV/atom
# D(E_F): 4.83 states/eV/f.u.

***

8.
# SnIrSe2Br PBE-GGA relaxed
data_SnIrSe2Br
_chemical_formula_sum 'Sn1 Ir1 Se2 Br1'
_cell_length_a 5.300
_cell_length_b 5.300
_cell_length_c 5.192
_cell_angle_alpha 90.00
_cell_angle_beta 90.00
_cell_angle_gamma 90.00
_space_group_name_H-M_alt 'P 4/m m m'
_space_group_IT_number 123
_space_group_name_Hall '-P 4 2'
loop_
_atom_site_label
_atom_site_type_symbol
_atom_site_fract_x
_atom_site_fract_y
_atom_site_fract_z
Sn1 Sn 0.000 0.000 0.000
Ir1 Ir 0.000 0.000 0.500
Se1 Se 0.000 0.500 0.000
Br1 Br 0.500 0.500 0.500
# ΔE to the lowest computed polymorph: 0.8854 eV/atom
# D(E_F): 5.93 states/eV/f.u.

***

9.
# SrIrSeBr2 PBE-GGA relaxed
data_SrIrSeBr2
_chemical_formula_sum 'Sr1 Ir1 Se1 Br2'
_cell_length_a 5.160
_cell_length_b 5.160
_cell_length_c 5.016
_cell_angle_alpha 90.00
_cell_angle_beta 90.00
_cell_angle_gamma 90.00
_space_group_name_H-M_alt 'P 4/m m m'
_space_group_IT_number 123
_space_group_name_Hall '-P 4 2'
loop_
_atom_site_label
_atom_site_type_symbol
_atom_site_fract_x
_atom_site_fract_y
_atom_site_fract_z
Sr1 Sr 0.000 0.000 0.000
Ir1 Ir 0.500 0.500 0.500
Se1 Se 0.500 0.500 0.000
Br1 Br 0.000 0.500 0.500
# ΔE to the lowest computed polymorph: 0.0000 eV/atom
# D(E_F): 3.91 states/eV/f.u.

***

10.
# SrIrSeBr2 PBE-GGA relaxed
data_SrIrSeBr2
_chemical_formula_sum 'Sr1 Ir1 Se1 Br2'
_cell_length_a 5.720
_cell_length_b 5.720
_cell_length_c 6.102
_cell_angle_alpha 90.00
_cell_angle_beta 90.00
_cell_angle_gamma 90.00
_space_group_name_H-M_alt 'P 4/m m m'
_space_group_IT_number 123
_space_group_name_Hall '-P 4 2'
loop_
_atom_site_label
_atom_site_type_symbol
_atom_site_fract_x
_atom_site_fract_y
_atom_site_fract_z
Sr1 Sr 0.000 0.000 0.000
Ir1 Ir 0.500 0.500 0.500
Se1 Se 0.000 0.000 0.500
Br1 Br 0.000 0.500 0.000
# ΔE to the lowest computed polymorph: 1.1591 eV/atom
# D(E_F): 6.25 states/eV/f.u.

***

11.
# TaIrSeBr2 PBE-GGA relaxed
data_TaIrSeBr2
_chemical_formula_sum 'Ta1 Ir1 Se1 Br2'
_cell_length_a 4.943
_cell_length_b 4.943
_cell_length_c 4.982
_cell_angle_alpha 90.00
_cell_angle_beta 90.00
_cell_angle_gamma 90.00
_space_group_name_H-M_alt 'P 4/m m m'
_space_group_IT_number 123
_space_group_name_Hall '-P 4 2'
loop_
_atom_site_label
_atom_site_type_symbol
_atom_site_fract_x
_atom_site_fract_y
_atom_site_fract_z
Ta1 Ta 0.000 0.000 0.000
Ir1 Ir 0.500 0.500 0.500
Se1 Se 0.500 0.500 0.000
Br1 Br 0.000 0.500 0.500
# ΔE to the lowest computed polymorph: 0.1590 eV/atom
# D(E_F): 4.94 states/eV/f.u.

***

12.
# TaIrSeBr2 PBE-GGA relaxed
data_TaIrSeBr2
_chemical_formula_sum 'Ta1 Ir1 Se1 Br2'
_cell_length_a 5.100
_cell_length_b 5.100
_cell_length_c 5.020
_cell_angle_alpha 90.00
_cell_angle_beta 90.00
_cell_angle_gamma 90.00
_space_group_name_H-M_alt 'P 4/m m m'
_space_group_IT_number 123
_space_group_name_Hall '-P 4 2'
loop_
_atom_site_label
_atom_site_type_symbol
_atom_site_fract_x
_atom_site_fract_y
_atom_site_fract_z
Ta1 Ta 0.000 0.000 0.000
Ir1 Ir 0.500 0.500 0.500
Se1 Se 0.000 0.000 0.500
Br1 Br 0.000 0.500 0.000
# ΔE to the lowest computed polymorph: 0.0000 eV/atom
# D(E_F): 7.07 states/eV/f.u.

***

13.
# TcIrSeBr2 PBE-GGA relaxed
data_TcIrSeBr2
_chemical_formula_sum 'Tc1 Ir1 Se1 Br2'
_cell_length_a 5.106
_cell_length_b 5.106
_cell_length_c 4.881
_cell_angle_alpha 90.00
_cell_angle_beta 90.00
_cell_angle_gamma 90.00
_space_group_name_H-M_alt 'P 4/m m m'
_space_group_IT_number 123
_space_group_name_Hall '-P 4 2'
loop_
_atom_site_label
_atom_site_type_symbol
_atom_site_fract_x
_atom_site_fract_y
_atom_site_fract_z
Tc1 Tc 0.000 0.000 0.000
Ir1 Ir 0.500 0.500 0.500
Se1 Se 0.500 0.500 0.000
Br1 Br 0.000 0.500 0.500
# ΔE to the lowest computed polymorph: 0.0000 eV/atom
# D(E_F): 3.02 states/eV/f.u.

***

14.
# TeIrSeBr2 PBE-GGA relaxed
data_TeIrSeBr2
_chemical_formula_sum 'Te1 Ir1 Se1 Br2'
_cell_length_a 5.081
_cell_length_b 5.081
_cell_length_c 4.900
_cell_angle_alpha 90.00
_cell_angle_beta 90.00
_cell_angle_gamma 90.00
_space_group_name_H-M_alt 'P 4/m m m'
_space_group_IT_number 123
_space_group_name_Hall '-P 4 2'
loop_
_atom_site_label
_atom_site_type_symbol
_atom_site_fract_x
_atom_site_fract_y
_atom_site_fract_z
Te1 Te 0.000 0.000 0.000
Ir1 Ir 0.500 0.500 0.500
Se1 Se 0.500 0.500 0.000
Br1 Br 0.000 0.500 0.500
# ΔE to the lowest computed polymorph: 0.0000 eV/atom
# D(E_F): 4.73 states/eV/f.u.